LiTiTl2 | GGA-PBE | relaxed

abc: 3.204 5.053 5.053
angles: 90.00 90.00 90.00
Site moments in Bohr magnetons follow the coordinates.
Positions (direct):
Tl1 0.000 0.500 0.000  -0.01
Tl2 0.000 0.000 0.500  -0.01
Ti1 0.500 0.500 0.500  0.54
Li1 0.500 0.000 0.000  -0.01

---

LiTiTl | GGA-PBE | relaxed

abc: 3.152 5.883 7.530
angles: 83.59 102.03 122.40
Site moments in Bohr magnetons follow the coordinates.
Positions (direct):
Ti1 0.083 0.284 0.031  0.35
Ti2 0.430 0.284 0.727  0.21
Li1 0.792 0.784 0.449  0.00
Li2 0.121 0.784 0.111  0.00
Tl1 0.752 0.284 0.369  0.01
Tl2 0.465 0.784 0.798  0.00

Values from the calculation:
E above lowest polymorph: 47 meV/atom

---

LiTm2Ti | GGA-PBE | relaxed

abc: 3.197 3.197 11.495
angles: 82.01 82.01 60.00
Site moments in Bohr magnetons follow the coordinates.
Positions (direct):
Tm1 0.085 0.085 0.744  0.16
Tm2 0.915 0.915 0.256  0.16
Ti1 0.000 0.000 0.000  1.18
Li1 0.500 0.500 0.500  0.00

Values from the calculation:
E above lowest polymorph: 323 meV/atom

---

LiTm2Ti | GGA-PBE | relaxed

abc: 3.376 3.376 8.470
angles: 90.00 90.00 90.00
Positions (direct):
Li1 0.500 0.500 0.500
Ti1 0.500 0.500 0.000
Tm1 0.000 0.000 0.234
Tm2 0.000 0.000 0.766

Values from the calculation:
E above lowest polymorph: 0 meV/atom

---

LiTmTi | GGA-PBE | relaxed

abc: 3.552 3.552 10.615
angles: 90.00 90.00 90.00
Positions (direct):
Li1 0.000 0.500 0.932
Li2 0.500 0.000 0.068
Tm1 0.000 0.500 0.267
Tm2 0.500 0.000 0.733
Ti1 0.500 0.000 0.448
Ti2 0.000 0.500 0.552

---

LiTm2Ti | GGA-PBE | relaxed

abc: 3.454 5.259 5.259
angles: 90.00 90.00 90.00
Site moments in Bohr magnetons follow the coordinates.
Positions (direct):
Ti1 0.500 0.000 0.000  1.05
Li1 0.500 0.500 0.500  0.00
Tm1 0.000 0.500 0.000  0.22
Tm2 0.000 0.000 0.500  0.22

Values from the calculation:
E above lowest polymorph: 84 meV/atom

---

no.,ΔH_f (0 K) (meV/atom),DOS(E_F) (states/eV/atom)
1,-38,0.44
2,-13,0.61
3,462,1.44
4,139,1.00
5,86,1.40
6,223,1.42